Entry from Alexandria: KVO2 after structural relaxation (GGA+U).

The volume comes out at 301.9 Å³ per cell. As for the density of states at the Fermi level: 0.6 states/eV per cell. As for the total energy: -6.08 eV per atom. The calculation puts the total magnetization at 2.00 μB per formula unit.

It has space group Cmcm (No. 63), with a = 3.3071 Å, b = 15.7414 Å, c = 5.7997 Å, α = 90.00°, β = 90.00° and γ = 90.00°. The asymmetric unit holds K at (0.0000, 0.1721, 0.2500), V at (0.0000, 0.4462, 0.2500), O at (0.0000, 0.0075, 0.2500) and O at (0.0000, 0.3357, 0.2500).